one | DFT (PBE) results for TbPmP2 after structural relaxation.

## Properties
space group: I4_1/amd

Cell lengths 5.769, 5.769, 7.068 Å; angles 114.09, 114.09, 90.00 degrees
Sites, in units of the cell vectors:
Tb 0.500 0.500 0.000
Tb 0.250 0.750 0.500
Pm 0.750 0.250 0.500
Pm 0.000 0.000 0.000
P 0.747 0.747 0.495
P 0.497 0.997 0.995
P 0.253 0.253 0.505
P 0.003 0.503 0.005



two | DFT (PBE) results for TbPmP2 after structural relaxation.

## Properties
space group: P4/mmm

Cell lengths 3.527, 4.978, 4.978 Å; angles 90.00, 90.00, 90.00 degrees
Sites, in units of the cell vectors:
P 0.000 0.000 0.500
P 0.000 0.500 0.000
Tb 0.500 0.000 0.000
Pm 0.500 0.500 0.500



Which is most stable, and by how much? one, by 0.524 eV/atom.



one | DFT (PBE) results for Pm2TcP after structural relaxation.

## Properties
space group: R-3m

Cell lengths 3.800, 3.800, 9.013 Å; angles 77.83, 77.83, 60.00 degrees
Last column: magnetic moment on the atom in μB.
Sites, in units of the cell vectors:
P 0.500 0.500 0.500  0.03
Tc 0.000 0.000 0.000  0.74
Pm 0.100 0.100 0.699  -0.07
Pm 0.900 0.900 0.301  -0.07



two | DFT (PBE) results for Pm2TcP after structural relaxation.

## Properties
space group: Fm-3m

Cell lengths 5.005, 5.005, 5.005 Å; angles 60.00, 60.00, 60.00 degrees
Sites, in units of the cell vectors:
P 0.000 0.000 0.000
Tc 0.500 0.500 0.500
Pm 0.250 0.250 0.250
Pm 0.750 0.750 0.750



three | DFT (PBE) results for Pm2TcP after structural relaxation.

## Properties
space group: P4/mmm

Cell lengths 3.677, 3.677, 6.476 Å; angles 90.00, 90.00, 90.00 degrees
Sites, in units of the cell vectors:
P 0.500 0.500 0.500
Tc 0.500 0.500 0.000
Pm 0.000 0.000 0.743
Pm 0.000 0.000 0.257



Which is most stable, and by how much? three, by 0.159 eV/atom.



one | DFT (PBE) results for PmTcP2 after structural relaxation.

## Properties
space group: P4/mmm

Cell lengths 3.108, 3.108, 6.882 Å; angles 90.00, 90.00, 90.00 degrees
Sites, in units of the cell vectors:
P 0.000 0.000 0.700
P 0.000 0.000 0.300
Tc 0.500 0.500 0.500
Pm 0.500 0.500 0.000



two | DFT (PBE) results for PmTcP2 after structural relaxation.

## Properties
space group: Fm-3m

Cell lengths 4.593, 4.593, 4.593 Å; angles 60.00, 60.00, 60.00 degrees
Sites, in units of the cell vectors:
P 0.250 0.250 0.250
P 0.750 0.750 0.750
Tc 0.500 0.500 0.500
Pm 0.000 0.000 0.000



Which is most stable, and by how much? one, by 0.062 eV/atom.



one | DFT (PBE) results for Pm3Te2P after structural relaxation.

## Properties
space group: C2/c

Cell lengths 7.446, 7.563, 7.563 Å; angles 118.75, 99.85, 99.85 degrees
Sites, in units of the cell vectors:
Pm 0.005 0.219 0.363
Pm 0.505 0.363 0.219
Pm 0.000 0.500 0.000
Pm 0.995 0.781 0.637
Pm 0.500 0.000 0.500
Pm 0.495 0.637 0.781
Te 0.250 0.920 0.080
Te 0.250 0.240 0.760
Te 0.750 0.080 0.920
Te 0.750 0.760 0.240
P 0.250 0.589 0.411
P 0.750 0.411 0.589



two | DFT (PBE) results for Pm3Te2P after structural relaxation.

## Properties
space group: C2/m

Cell lengths 7.487, 7.678, 7.474 Å; angles 80.64, 59.94, 71.04 degrees
Sites, in units of the cell vectors:
Pm 0.568 0.221 0.357
Pm 0.714 0.784 0.000
Pm 0.432 0.779 0.643
Pm 0.075 0.779 0.357
Pm 0.925 0.221 0.643
Pm 0.286 0.216 0.000
Te 0.000 0.000 0.000
Te 0.500 0.500 0.000
Te 0.841 0.500 0.318
Te 0.159 0.500 0.682
P 0.332 0.000 0.336
P 0.668 0.000 0.664



Which is most stable, and by how much? two, by 0.032 eV/atom.



one | DFT (PBE) results for Pm5Te4P after structural relaxation.

## Properties
space group: I4/mmm

Cell lengths 4.356, 4.356, 16.252 Å; angles 97.70, 97.70, 90.00 degrees
Sites, in units of the cell vectors:
Pm 0.086 0.086 0.172
Pm 0.500 0.500 0.000
Pm 0.914 0.914 0.828
Pm 0.291 0.291 0.581
Pm 0.709 0.709 0.419
Te 0.398 0.398 0.795
Te 0.809 0.809 0.617
Te 0.191 0.191 0.383
Te 0.602 0.602 0.205
P 0.000 0.000 0.000



two | DFT (PBE) results for Pm5Te4P after structural relaxation.

## Properties
space group: I4/m

Cell lengths 6.206, 7.647, 7.647 Å; angles 80.52, 66.06, 66.06 degrees
Sites, in units of the cell vectors:
Pm 0.907 0.361 0.828
Pm 0.268 0.828 0.639
Pm 0.734 0.172 0.361
Pm 0.096 0.639 0.172
Pm 0.501 0.000 0.000
Te 0.410 0.398 0.783
Te 0.808 0.783 0.602
Te 0.194 0.217 0.398
Te 0.592 0.602 0.217
P 0.001 0.000 0.000



Which is most stable, and by how much? two, by 0.016 eV/atom.



one | DFT (PBE) results for Pm3TlP after structural relaxation.

## Properties
space group: Pm-3m

Cell lengths 5.430, 5.430, 5.430 Å; angles 90.00, 90.00, 90.00 degrees
Sites, in units of the cell vectors:
P 0.000 0.000 0.000
Tl 0.500 0.500 0.500
Pm 0.000 0.500 0.000
Pm 0.000 0.000 0.500
Pm 0.500 0.000 0.000



two | DFT (PBE) results for Pm3TlP after structural relaxation.

## Properties
space group: Pnma

Cell lengths 4.101, 9.126, 15.747 Å; angles 90.00, 90.00, 90.00 degrees
Sites, in units of the cell vectors:
Pm 0.250 0.339 0.517
Pm 0.750 0.813 0.207
Pm 0.750 0.526 0.893
Pm 0.750 0.026 0.607
Pm 0.750 0.661 0.483
Pm 0.250 0.974 0.393
Pm 0.250 0.839 0.983
Pm 0.750 0.313 0.293
Pm 0.250 0.687 0.707
Pm 0.250 0.187 0.793
Pm 0.750 0.161 0.017
Pm 0.250 0.474 0.107
Tl 0.750 0.901 0.819
Tl 0.250 0.099 0.181
Tl 0.750 0.401 0.681
Tl 0.250 0.599 0.319
P 0.250 0.332 0.946
P 0.250 0.832 0.554
P 0.750 0.168 0.446
P 0.750 0.668 0.054



Which is most stable, and by how much? two, by 0.148 eV/atom.



one | DFT (PBE) results for PmUP2 after structural relaxation.

## Properties
space group: R3m

Cell lengths 3.952, 3.952, 7.330 Å; angles 74.36, 74.36, 60.00 degrees
Last column: magnetic moment on the atom in μB.
Sites, in units of the cell vectors:
Pm 0.496 0.496 0.513  0.03
U 0.670 0.670 0.991  2.01
P 0.078 0.078 0.765  -0.05
P 0.256 0.256 0.231  -0.06



two | DFT (PBE) results for PmUP2 after structural relaxation.

## Properties
space group: R-3m

Cell lengths 4.143, 4.143, 8.556 Å; angles 75.99, 75.99, 60.00 degrees
Last column: magnetic moment on the atom in μB.
Sites, in units of the cell vectors:
P 0.103 0.103 0.692  -0.09
P 0.897 0.897 0.308  -0.09
U 0.000 0.000 0.000  2.26
Pm 0.500 0.500 0.500  -0.06



three | DFT (PBE) results for PmUP2 after structural relaxation.

## Properties
space group: Pmmn

Cell lengths 3.827, 5.187, 9.929 Å; angles 90.00, 90.00, 90.00 degrees
Last column: magnetic moment on the atom in μB.
Sites, in units of the cell vectors:
Pm 0.500 0.000 0.124  0.15
Pm 0.000 0.500 0.876  0.15
U 0.500 0.500 0.384  2.04
U 0.000 0.000 0.616  2.04
P 0.000 0.500 0.166  -0.05
P 0.500 0.000 0.415  -0.07
P 0.000 0.500 0.585  -0.07
P 0.500 0.000 0.834  -0.05



Which is most stable, and by how much? one, by 0.255 eV/atom.



one | DFT (PBE) results for PmUP2 after structural relaxation.

## Properties
space group: Fm-3m

Cell lengths 4.891, 4.891, 4.891 Å; angles 60.00, 60.00, 60.00 degrees
Last column: magnetic moment on the atom in μB.
Sites, in units of the cell vectors:
P 0.250 0.250 0.250  -0.10
P 0.750 0.750 0.750  -0.10
U 0.500 0.500 0.500  2.17
Pm 0.000 0.000 0.000  0.24



two | DFT (PBE) results for PmUP2 after structural relaxation.

## Properties
space group: R-3m

Cell lengths 4.002, 4.002, 7.071 Å; angles 73.56, 73.56, 60.00 degrees
Last column: magnetic moment on the atom in μB.
Sites, in units of the cell vectors:
Pm 0.500 0.500 0.500  0.03
U 0.000 0.000 0.000  2.03
P 0.255 0.255 0.235  -0.05
P 0.745 0.745 0.765  -0.05



Which is most stable, and by how much? two, by 0.431 eV/atom.



one | DFT (PBE) results for PmUP after structural relaxation.

## Properties
space group: P3m1

Cell lengths 6.601, 3.775, 3.775 Å; angles 120.00, 90.00, 90.00 degrees
Last column: magnetic moment on the atom in μB.
Sites, in units of the cell vectors:
P 0.326 0.333 0.667  -0.04
U 0.074 0.000 0.000  2.69
Pm 0.600 0.667 0.333  0.21



two | DFT (PBE) results for PmUP after structural relaxation.

## Properties
space group: I4mm

Cell lengths 3.498, 3.498, 6.508 Å; angles 105.59, 105.59, 90.00 degrees
Last column: magnetic moment on the atom in μB.
Sites, in units of the cell vectors:
P 0.626 0.626 0.252  -0.05
U 0.244 0.244 0.489  2.43
Pm 0.980 0.980 0.959  0.10



Which is most stable, and by how much? one, by 0.082 eV/atom.



one | DFT (PBE) results for PmVP2 after structural relaxation.

## Properties
space group: I-4m2

Cell lengths 3.709, 3.709, 6.458 Å; angles 106.70, 106.69, 89.99 degrees
Last column: magnetic moment on the atom in μB.
Sites, in units of the cell vectors:
Pm 0.221 0.881 0.228  0.20
V 0.471 0.631 0.728  1.26
P 0.852 0.512 0.490  -0.07
P 0.590 0.250 0.966  -0.07



two | DFT (PBE) results for PmVP2 after structural relaxation.

## Properties
space group: P4/mmm

Cell lengths 3.402, 4.685, 4.685 Å; angles 90.00, 90.00, 90.00 degrees
Last column: magnetic moment on the atom in μB.
Sites, in units of the cell vectors:
P 0.000 0.000 0.500  -0.10
P 0.000 0.500 0.000  -0.10
V 0.500 0.500 0.500  2.19
Pm 0.500 0.000 0.000  0.11



three | DFT (PBE) results for PmVP2 after structural relaxation.

## Properties
space group: Fm-3m

Cell lengths 4.686, 4.686, 4.686 Å; angles 60.00, 60.00, 60.00 degrees
Last column: magnetic moment on the atom in μB.
Sites, in units of the cell vectors:
P 0.250 0.250 0.250  -0.10
P 0.750 0.750 0.750  -0.10
V 0.500 0.500 0.500  1.89
Pm 0.000 0.000 0.000  0.02



Which is most stable, and by how much? one, by 0.215 eV/atom.



one | DFT (PBE) results for Pm2ZnP after structural relaxation.

## Properties
space group: R3m

Cell lengths 4.069, 4.069, 7.799 Å; angles 74.88, 74.88, 60.00 degrees
Sites, in units of the cell vectors:
Pm 0.072 0.072 0.785
Pm 0.262 0.262 0.213
Zn 0.499 0.499 0.502
P 0.667 0.667 0.000



two | DFT (PBE) results for Pm2ZnP after structural relaxation.

## Properties
space group: Fm-3m

Cell lengths 5.063, 5.063, 5.063 Å; angles 60.00, 60.00, 60.00 degrees
Sites, in units of the cell vectors:
P 0.000 0.000 0.000
Zn 0.500 0.500 0.500
Pm 0.250 0.250 0.250
Pm 0.750 0.750 0.750



three | DFT (PBE) results for Pm2ZnP after structural relaxation.

## Properties
space group: P4/mmm

Cell lengths 3.703, 3.703, 6.764 Å; angles 90.00, 90.00, 90.00 degrees
Sites, in units of the cell vectors:
P 0.500 0.500 0.000
Zn 0.500 0.500 0.500
Pm 0.000 0.000 0.765
Pm 0.000 0.000 0.235



Which is most stable, and by how much? one, by 0.062 eV/atom.